Entry 1:
3
Lattice="3.813 0.000 0.000 -1.906 3.302 0.000 0.000 0.000 7.442" Properties=species:S:1:pos:R:3 comment="CaLaCl PBE-GGA relaxed" total_energy_ev_per_atom=-3.94 e_form_raw_ev_per_atom=-1.01 e_above_lowest_polymorph_mev_per_atom=0 dos_ef_per_ev_fu=1.67 pbc="T T T"
La 0.000 2.201 4.689
Cl 1.906 1.101 2.402
Ca 0.000 0.000 0.351



Entry 2:
5
Lattice="-2.042 2.229 -2.356 -3.255 -4.486 -1.422 -2.400 0.833 2.869" Properties=species:S:1:pos:R:3 comment="TlPH2Se PBE-GGA relaxed" total_energy_ev_per_atom=-3.16 dos_ef_per_ev_fu=2.82 pbc="T T T"
P 0.000 0.000 0.000
H -1.021 1.114 -1.178
H -1.200 0.416 1.434
Se -3.849 -0.712 -0.454
Tl -1.628 -2.243 -0.711



Entry 3:
5
Lattice="3.640 0.000 0.000 0.000 3.613 0.000 0.000 0.000 3.640" Properties=species:S:1:pos:R:3 comment="Be2CoIrN PBE-GGA relaxed" total_energy_ev_per_atom=-6.43 e_form_raw_ev_per_atom=-0.08 e_above_lowest_polymorph_mev_per_atom=0 dos_ef_per_ev_fu=2.52 pbc="T T T"
Be 0.000 0.000 1.820
Be 1.820 0.000 0.000
Co 0.000 1.806 0.000
N 0.000 0.000 0.000
Ir 1.820 1.806 1.820



Entry 4:
6
Lattice="-1.126 1.995 -3.558 -5.042 -3.227 -0.213 -5.711 3.287 1.138" Properties=species:S:1:pos:R:3 comment="CaCdSi PBE-GGA relaxed" total_energy_ev_per_atom=-3.07 e_form_raw_ev_per_atom=-0.29 dos_ef_per_ev_fu=0.87 pbc="T T T"
Si -9.023 0.360 -1.302
Si -2.824 1.870 -2.423
Cd -4.139 0.900 -0.031
Cd -6.582 -0.665 -0.135
Ca -4.871 -0.449 -3.074
Ca -6.976 2.679 -0.650



Entry 5:
4
Lattice="-1.860 0.967 -1.619 -1.112 -4.914 -1.657 -3.484 -0.467 3.722" Properties=species:S:1:pos:R:3 comment="KMo2Os PBE-GGA relaxed" total_energy_ev_per_atom=-6.93 e_above_lowest_polymorph_mev_per_atom=795 dos_ef_per_ev_fu=4.23 pbc="T T T"
K -2.298 -2.690 1.032
Os -2.672 0.250 1.052
Mo -1.486 -1.973 -1.638
Mo 0.000 0.000 0.000



Entry 6:
6
Lattice="-5.028 -3.661 -4.245 4.721 1.359 5.707 -3.377 1.932 2.333" Properties=species:S:1:pos:R:3 comment="AgRh2 PBE-GGA relaxed" total_energy_ev_per_atom=-5.66 e_above_lowest_polymorph_mev_per_atom=31 dos_ef_per_ev_fu=4.70 pbc="T T T"
Rh -1.989 -1.179 0.302
Rh 1.683 2.547 6.942
Rh -5.367 -2.918 -3.146
Rh -1.695 0.808 3.493
Ag 1.146 0.436 3.503
Ag -4.830 -0.807 0.292



Entry 7:
5
Lattice="-1.086 3.895 2.023 -3.406 -0.020 -1.790 -1.801 -2.296 3.453" Properties=species:S:1:pos:R:3 comment="TiCu2GeB PBE-GGA relaxed" total_energy_ev_per_atom=-4.49 dos_ef_per_ev_fu=2.77 pbc="T T T"
B -1.703 -0.010 -0.895
Ti -3.146 0.789 1.843
Cu -0.901 -1.148 1.727
Cu -0.543 1.947 1.012
Ge 0.000 0.000 0.000



Entry 8:
3
Lattice="1.255 1.716 5.890 2.179 4.875 3.271 -3.676 -2.556 -4.379" Properties=species:S:1:pos:R:3 comment="Re2Hg PBE-GGA relaxed" total_energy_ev_per_atom=-7.93 e_above_lowest_polymorph_mev_per_atom=68 dos_ef_per_ev_fu=1.73 pbc="T T T"
Hg 1.717 3.296 4.581
Re 0.648 1.243 1.727
Re 2.787 5.348 7.434



Entry 9:
19
Lattice="6.414 0.023 0.020 0.855 6.357 0.020 0.855 0.750 6.313" Properties=species:S:1:pos:R:3 comment="Er2Zr2Ni15 PBE-GGA relaxed" total_energy_ev_per_atom=-6.23 dos_ef_per_ev_fu=29.59 pbc="T T T"
Zr 0.886 0.778 0.693
Zr 7.238 6.352 5.660
Er 5.222 4.584 4.084
Er 2.902 2.547 2.269
Ni 4.722 0.244 1.936
Ni 3.207 0.011 0.010
Ni 0.427 3.179 0.010
Ni 0.427 0.375 3.156
Ni 2.548 4.429 0.020
Ni 3.244 2.847 5.301
Ni 0.855 4.650 1.936
Ni 4.880 1.538 4.134
Ni 3.244 5.593 2.219
Ni 2.548 0.529 4.397
Ni 4.722 1.951 0.020
Ni 2.158 4.639 4.134
Ni 0.855 2.457 4.397
Ni 5.966 2.491 2.219
Ni 4.880 4.283 1.053



Entry 10:
4
Lattice="5.654 0.000 0.000 2.827 4.896 0.000 2.827 1.632 4.616" Properties=species:S:1:pos:R:3 comment="SmDyEr2 PBE-GGA relaxed" total_energy_ev_per_atom=-4.48 e_above_lowest_polymorph_mev_per_atom=119 dos_ef_per_ev_fu=8.39 pbc="T T T"
Er 2.827 1.632 1.154
Er 8.481 4.896 3.462
Sm 5.654 3.264 2.308
Dy 0.000 0.000 0.000



Entry 11:
5
Lattice="-1.789 2.299 -2.353 -2.911 -2.354 -0.088 -2.256 2.631 4.285" Properties=species:S:1:pos:R:3 comment="MgPtN2F PBE-GGA relaxed" total_energy_ev_per_atom=-4.92 e_form_raw_ev_per_atom=0.31 e_above_lowest_polymorph_mev_per_atom=0 dos_ef_per_ev_fu=2.94 pbc="T T T"
N -1.456 -1.177 -0.044
N -0.894 1.150 -1.177
Pt 0.000 0.000 0.000
F -1.128 1.315 2.143
Mg -3.478 1.288 0.922



Entry 12:
5
Lattice="5.137 0.000 0.000 0.000 4.100 0.000 0.000 0.000 5.137" Properties=species:S:1:pos:R:3 comment="Sc2CoSiCl PBE-GGA relaxed" total_energy_ev_per_atom=-5.55 e_form_raw_ev_per_atom=-0.14 dos_ef_per_ev_fu=3.51 pbc="T T T"
Co 0.000 2.050 0.000
Sc 0.000 0.000 2.568
Sc 2.568 0.000 0.000
Cl 2.568 2.050 2.568
Si 0.000 0.000 0.000